[1]
# La4HfPt2 | Alexandria | PBE-GGA | relaxed
data_La4HfPt2
_cell_length_a 5.800
_cell_length_b 5.800
_cell_length_c 13.882
_cell_angle_alpha 90.00
_cell_angle_beta 90.00
_cell_angle_gamma 90.00
_space_group_name_H-M_alt 'I 4/m m m'
_space_group_IT_number 139
_space_group_name_Hall '-I 4 2'
loop_
_atom_site_label
_atom_site_type_symbol
_atom_site_fract_x
_atom_site_fract_y
_atom_site_fract_z
La1 La 0.000 0.000 0.208
La2 La 0.000 0.500 0.000
Hf1 Hf 0.000 0.000 0.000
Pt1 Pt 0.000 0.000 0.400
# - DOS at the Fermi energy (states/eV/atom) = 0.958
# - DFT formation energy (eV/f.u.) = 0.2

---

[2]
# La3HfPt | Alexandria | PBE-GGA | relaxed
data_La3HfPt
_cell_length_a 5.589
_cell_length_b 5.589
_cell_length_c 5.589
_cell_angle_alpha 90.00
_cell_angle_beta 90.00
_cell_angle_gamma 90.00
_space_group_name_H-M_alt 'P m -3 m'
_space_group_IT_number 221
_space_group_name_Hall '-P 4 2 3'
loop_
_atom_site_label
_atom_site_type_symbol
_atom_site_fract_x
_atom_site_fract_y
_atom_site_fract_z
La1 La 0.000 0.000 0.500
Hf1 Hf 0.000 0.000 0.000
Pt1 Pt 0.500 0.500 0.500
# - DOS at the Fermi energy (states/eV/atom) = 1.052
# - DFT formation energy (eV/f.u.) = 3.2

---

[3]
# LaHf3Pt | Alexandria | PBE-GGA | relaxed
data_LaHf3Pt
_cell_length_a 5.147
_cell_length_b 5.147
_cell_length_c 5.147
_cell_angle_alpha 90.00
_cell_angle_beta 90.00
_cell_angle_gamma 90.00
_space_group_name_H-M_alt 'P m -3 m'
_space_group_IT_number 221
_space_group_name_Hall '-P 4 2 3'
loop_
_atom_site_label
_atom_site_type_symbol
_atom_site_fract_x
_atom_site_fract_y
_atom_site_fract_z
La1 La 0.000 0.000 0.000
Hf1 Hf 0.000 0.500 0.500
Pt1 Pt 0.500 0.500 0.500
# - DOS at the Fermi energy (states/eV/atom) = 1.619
# - offset from the most stable computed form (eV per atom) = 0.000
# - DFT formation energy (eV/f.u.) = 0.1

---

[4]
# LaHf2PtS | Alexandria | PBE-GGA | relaxed
data_LaHf2PtS
_cell_length_a 4.857
_cell_length_b 4.857
_cell_length_c 4.775
_cell_angle_alpha 90.00
_cell_angle_beta 90.00
_cell_angle_gamma 90.00
_space_group_name_H-M_alt 'P 4/m m m'
_space_group_IT_number 123
_space_group_name_Hall '-P 4 2'
loop_
_atom_site_label
_atom_site_type_symbol
_atom_site_fract_x
_atom_site_fract_y
_atom_site_fract_z
La1 La 0.000 0.000 0.000
Hf1 Hf 0.000 0.500 0.500
Pt1 Pt 0.500 0.500 0.000
S1 S 0.500 0.500 0.500
# - DOS at the Fermi energy (states/eV/atom) = 1.076
# - energy relative to the elements, uncorrected (eV/atom) = -0.375

---

[5]
# LaHfScPt2 | Alexandria | PBE-GGA | relaxed
data_LaHfScPt2
_cell_length_a 4.575
_cell_length_b 4.575
_cell_length_c 11.041
_cell_angle_alpha 90.00
_cell_angle_beta 90.00
_cell_angle_gamma 90.00
_space_group_name_H-M_alt 'I -4 m 2'
_space_group_IT_number 119
_space_group_name_Hall 'I -4 -2'
loop_
_atom_site_label
_atom_site_type_symbol
_atom_site_fract_x
_atom_site_fract_y
_atom_site_fract_z
La1 La 0.000 0.000 0.000
Hf1 Hf 0.000 0.500 0.250
Sc1 Sc 0.000 0.500 0.750
Pt1 Pt 0.000 0.000 0.378
# - DOS at the Fermi energy (states/eV/atom) = 1.083
# - DFT formation energy (eV/f.u.) = -5.0

---

[6]
# La2HfScPt2 | Alexandria | PBE-GGA | relaxed
data_La2HfScPt2
_cell_length_a 6.623
_cell_length_b 13.848
_cell_length_c 6.619
_cell_angle_alpha 90.00
_cell_angle_beta 90.00
_cell_angle_gamma 90.00
_space_group_name_H-M_alt 'I b a m'
_space_group_IT_number 72
_space_group_name_Hall '-I 2 2c'
loop_
_atom_site_label
_atom_site_type_symbol
_atom_site_fract_x
_atom_site_fract_y
_atom_site_fract_z
La1 La 0.248 0.188 0.000
Hf1 Hf 0.000 0.500 0.250
Sc1 Sc 0.000 0.000 0.250
Pt1 Pt 0.242 0.399 0.000
# - DOS at the Fermi energy (states/eV/atom) = 1.002
# - DFT formation energy (eV/f.u.) = -5.4

---

M_tot readings, ordered: 0.00; 0.00; 0.00; 0.00; 0.00; 0.00 μB per cell